This record from the Alexandria database describes crystalline NaBiSbSe3 at its relaxed geometry. The functional is PBE.

a = 4.1441 Å, b = 8.6033 Å, c = 10.5244 Å
α = 93.02°, β = 90.00°, γ = 90.00°
Fractional positions:
Na (0.7500, 0.8655, 0.8519)
Na (0.2500, 0.1345, 0.1481)
Bi (0.2500, 0.6311, 0.1395)
Bi (0.7500, 0.3689, 0.8605)
Sb (0.2500, 0.1166, 0.5716)
Sb (0.7500, 0.8834, 0.4284)
Se (0.2500, 0.6797, 0.4312)
Se (0.7500, 0.8778, 0.1502)
Se (0.7500, 0.3876, 0.1400)
Se (0.7500, 0.3203, 0.5688)
Se (0.2500, 0.6124, 0.8600)
Se (0.2500, 0.1222, 0.8498)

The space-group type is P2_1/m (11). For the density of states at the Fermi level, the calculation gives 4.38 states/eV per cell. Its uncorrected formation energy is -0.43 eV per atom.



This record from the Alexandria database describes crystalline Pu4In2C at its relaxed geometry. The functional is PBE.

a = 4.8632 Å, b = 4.8632 Å, c = 8.5549 Å
α = 106.51°, β = 106.51°, γ = 90.00°
Last column: magnetic moment on the atom in μB.
Fractional positions:
C (0.0000, 0.0000, 0.0000)  -0.28
In (0.6384, 0.6384, 0.2767)  -0.01
In (0.3616, 0.3616, 0.7233)  -0.01
Pu (0.8448, 0.8448, 0.6896)  5.34
Pu (0.1552, 0.1552, 0.3104)  5.34
Pu (0.0000, 0.5000, 0.0000)  5.04
Pu (0.5000, 0.0000, 0.0000)  5.04

The space-group type is I4/mmm (139). Its total energy is -10.22 eV/atom. For the density of states at the Fermi level, the calculation gives 31.53 states/eV per cell.



This record from the Alexandria database describes crystalline NaPdI at its relaxed geometry. The functional is PBE.

a = 4.6448 Å, b = 4.6448 Å, c = 4.2184 Å
α = 90.00°, β = 90.00°, γ = 120.00°
Fractional positions:
I (0.0000, 0.0000, 0.0000)
Na (0.6667, 0.3333, 0.5000)
Pd (0.3333, 0.6667, 0.0000)

The space-group type is P-6m2 (187). For the density of states at the Fermi level, the calculation gives 0.08 states/eV per cell. For the relative energy among the computed polymorphs, the calculation gives 75 meV per atom. Its uncorrected formation energy is -0.45 eV per atom.



This record from the Alexandria database describes crystalline NdPuSiHg at its relaxed geometry. The functional is PBE.

a = 5.2291 Å, b = 5.2291 Å, c = 5.2291 Å
α = 60.00°, β = 60.00°, γ = 60.00°
Last column: magnetic moment on the atom in μB.
Fractional positions:
Si (0.7500, 0.7500, 0.7500)  -0.05
Nd (0.0000, 0.0000, 0.0000)  0.30
Hg (0.2500, 0.2500, 0.2500)  0.08
Pu (0.5000, 0.5000, 0.5000)  5.56

The space-group type is F-43m (216). For the density of states at the Fermi level, the calculation gives 10.17 states/eV per cell. Its uncorrected formation energy is -0.29 eV per atom.



This record from the Alexandria database describes crystalline Au at its relaxed geometry. The functional is PBE.

a = 8.8787 Å, b = 8.8787 Å, c = 2.7427 Å
α = 90.00°, β = 90.00°, γ = 90.00°
Fractional positions:
Au (0.8054, 0.1946, 0.0000)
Au (0.3054, 0.3054, 0.5000)
Au (0.6946, 0.6946, 0.5000)
Au (0.1946, 0.8054, 0.0000)
Au (0.8876, 0.8876, 0.0000)
Au (0.3876, 0.6124, 0.5000)
Au (0.6124, 0.3876, 0.5000)
Au (0.1124, 0.1124, 0.0000)

The space-group type is P4_2/mnm (136). For the density of states at the Fermi level, the calculation gives 2.67 states/eV per cell. For the relative energy among the computed polymorphs, the calculation gives 285 meV per atom.



This record from the Alexandria database describes crystalline YNb4S8 at its relaxed geometry. The functional is PBE.

a = 6.8729 Å, b = 6.8729 Å, c = 7.5167 Å
α = 101.01°, β = 106.08°, γ = 119.21°
Fractional positions:
Y (0.0000, 0.5000, 0.5000)
Nb (0.2059, 0.2059, 0.0000)
Nb (0.7941, 0.7941, 0.0000)
Nb (0.2321, 0.7766, 0.0087)
Nb (0.7679, 0.2234, 0.9913)
S (0.7047, 0.0237, 0.2330)
S (0.2094, 0.5283, 0.2330)
S (0.6856, 0.5058, 0.1914)
S (0.2214, 0.0444, 0.2658)
S (0.7786, 0.9556, 0.7342)
S (0.3144, 0.4942, 0.8086)
S (0.7906, 0.4717, 0.7670)
S (0.2953, 0.9763, 0.7670)

The space-group type is C2/m (12). For the density of states at the Fermi level, the calculation gives 5.98 states/eV per cell. Its uncorrected formation energy is -1.24 eV per atom.



This record from the Alexandria database describes crystalline Y2AlAg at its relaxed geometry. The functional is PBE.

a = 5.9086 Å, b = 5.9086 Å, c = 5.9086 Å
α = 136.66°, β = 136.66°, γ = 62.96°
Fractional positions:
Y (0.0000, 0.0000, 0.0000)
Y (0.2500, 0.7500, 0.5000)
Al (0.7500, 0.2500, 0.5000)
Ag (0.5000, 0.5000, 0.0000)

The space-group type is I-4m2 (119). Its total energy is -5.08 eV/atom. For the density of states at the Fermi level, the calculation gives 3.90 states/eV per cell.



This record from the Alexandria database describes crystalline RbFePb2 at its relaxed geometry. The functional is PBE.

a = 6.9506 Å, b = 6.9506 Å, c = 8.5919 Å
α = 66.14°, β = 66.14°, γ = 90.00°
Last column: magnetic moment on the atom in μB.
Fractional positions:
Pb (0.3758, 0.1250, 0.2500)  -0.10
Pb (0.3742, 0.6250, 0.2500)  -0.09
Pb (0.3750, 0.6242, 0.7500)  -0.10
Pb (0.8750, 0.6258, 0.7500)  -0.12
Fe (0.5000, 0.5000, 0.0000)  1.41
Fe (0.2500, 0.7500, 0.5000)  1.41
Rb (0.0000, 0.0000, 0.0000)  -0.01
Rb (0.7500, 0.2500, 0.5000)  -0.01

The space-group type is I-42d (122). For the density of states at the Fermi level, the calculation gives 2.50 states/eV per cell. For the relative energy among the computed polymorphs, the calculation gives 0 meV per atom.



Which spin magnetization belongs to each record? In order, 0.00; 21.63; 0.00; 6.63; 0.00; 0.00; 0.00; 2.04 Bohr magnetons per cell.